Entry 1:
Crystalline HfTcI2F at its relaxed geometry, computed with PBE-GGA.

Output
V = 31.4 A^3/atom
E_form (uncorrected) = 172 kJ/mol of formula units
D(E_F) = 1.70 states/eV/f.u.
M_tot = 2.180 μB/f.u.
Space-group type = P4/mmm

Cell lengths 5.5805, 5.0413, 5.5805 Å; angles 90.00, 90.00, 90.00 degrees
With the nearest neighbours (Å) after each atom.
Fractional positions:
F (0.5000, 0.5000, 0.5000)  8 I 3.76, 4 Tc 3.95
Hf (0.0000, 0.0000, 0.0000)  2 Tc 2.52, 4 I 2.79
Tc (0.0000, 0.5000, 0.0000)  2 Hf 2.52
I (0.0000, 0.0000, 0.5000)  2 Hf 2.79
I (0.5000, 0.0000, 0.0000)  2 Hf 2.79

Entry 2:
Crystalline HfTe2IF at its relaxed geometry, computed with PBE-GGA.

Output
V = 34.2 A^3/atom
E_form (uncorrected) = -167 kJ/mol of formula units
D(E_F) = 8.44 states/eV/f.u.
ΔE to the lowest computed polymorph = 0.000 eV/atom
M_tot = 1.050 μB/f.u.
Space-group type = P4/mmm

Cell lengths 5.5179, 5.5179, 5.6162 Å; angles 90.00, 90.00, 90.00 degrees
With the nearest neighbours (Å) after each atom.
Fractional positions:
Te (0.5000, 0.0000, 0.0000)  2 Hf 2.76
Te (0.0000, 0.5000, 0.0000)  2 Hf 2.76
Hf (0.0000, 0.0000, 0.0000)  4 Te 2.76, 2 I 2.81
F (0.5000, 0.5000, 0.5000)  4 I 3.90, 8 Te 3.94
I (0.0000, 0.0000, 0.5000)  2 Hf 2.81

Entry 3:
Crystalline HfTeIF2 at its relaxed geometry, computed with PBE-GGA.

Output
V = 31.9 A^3/atom
E_form (uncorrected) = -158 kJ/mol of formula units
D(E_F) = 4.37 states/eV/f.u.
M_tot = 2.215 μB/f.u.
Space-group type = P4/mmm

Cell lengths 4.2963, 8.6398, 4.2963 Å; angles 90.00, 90.00, 90.00 degrees
With the nearest neighbours (Å) after each atom.
Fractional positions:
I (0.0000, 0.5000, 0.0000)  4 Hf 3.04
Hf (0.5000, 0.5000, 0.5000)  4 I 3.04
Te (0.0000, 0.0000, 0.0000)  4 F 2.15
F (0.0000, 0.0000, 0.5000)  2 Te 2.15
F (0.5000, 0.0000, 0.0000)  2 Te 2.15

Entry 4:
Crystalline HfTe2IF at its relaxed geometry, computed with PBE-GGA.

Output
V = 25.7 A^3/atom
E_form (uncorrected) = 58 kJ/mol of formula units
D(E_F) = 4.21 states/eV/f.u.
ΔE to the lowest computed polymorph = 0.466 eV/atom
M_tot = 0.775 μB/f.u.
Space-group type = P4/mmm

Cell lengths 4.7068, 4.7068, 5.8076 Å; angles 90.00, 90.00, 90.00 degrees
With the nearest neighbours (Å) after each atom.
Fractional positions:
F (0.0000, 0.0000, 0.0000)  4 Te 2.35
Te (0.0000, 0.5000, 0.0000)  2 F 2.35
Te (0.5000, 0.0000, 0.0000)  2 F 2.35
I (0.0000, 0.0000, 0.5000)  2 F 2.90
Hf (0.5000, 0.5000, 0.5000)  4 I 3.33

Entry 5:
Crystalline HfTl2I4F2 at its relaxed geometry, computed with PBE-GGA.

Output
V = 38.8 A^3/atom
E_form (uncorrected) = -1338 kJ/mol of formula units
D(E_F) = 0.00 states/eV/f.u.
M_tot = 0.000 μB/f.u.
Space-group type = C2/m

Cell lengths 7.0732, 7.2991, 7.2991 Å; angles 69.74, 96.99, 96.99 degrees
With the nearest neighbours (Å) after each atom.
Fractional positions:
I (0.2469, 0.6471, 0.1365)  1 Hf 2.89
I (0.2469, 0.1365, 0.6471)  1 Hf 2.89
I (0.7531, 0.8635, 0.3529)  1 Hf 2.89
I (0.7531, 0.3529, 0.8635)  1 Hf 2.89
Tl (0.3742, 0.6540, 0.6540)  1 F 2.89
Tl (0.6258, 0.3460, 0.3460)  1 F 2.89
F (0.6291, 0.8661, 0.8661)  1 Hf 1.96
F (0.3709, 0.1339, 0.1339)  1 Hf 1.96
Hf (0.5000, 0.0000, 0.0000)  2 F 1.96